VASP calculation (PBEsol) on an optimized crystal structure of AlSb2P.

Summary:
Offset from the most stable computed form   0.000 eV per formula unit
SG   R3m, No. 160
Crystal system   trigonal
Final energy   -19.057 eV/cell
E_form (uncorrected)   -0.1 eV per formula unit

a = 7.186 Å, b = 7.186 Å, c = 7.186 Å
α = 31.77°, β = 31.77°, γ = 31.77°
Atoms (fractional coordinates):
Al1 0.000 0.000 0.000
Sb1 0.231 0.231 0.231
Sb2 0.476 0.476 0.476
P1 0.711 0.711 0.711



VASP calculation (PBEsol) on an optimized crystal structure of LiCdSe2.

Summary:
SG   Imm2, No. 44
Crystal system   orthorhombic
Final energy   -12.845 eV/cell
E_form (uncorrected)   -2.0 eV per formula unit

a = 6.400 Å, b = 6.400 Å, c = 6.400 Å
α = 146.78°, β = 145.73°, γ = 48.48°
Atoms (fractional coordinates):
Li1 0.000 0.000 0.000
Cd1 0.734 0.234 0.500
Se1 0.333 0.833 0.500
Se2 0.557 0.557 0.000



VASP calculation (PBEsol) on an optimized crystal structure of HgSb2O6.

Summary:
Offset from the most stable computed form   0.680 eV per formula unit
SG   P4_2/mnm, No. 136
Crystal system   tetragonal
Final energy   -102.187 eV/cell
E_form (uncorrected)   -9.9 eV per formula unit

a = 4.865 Å, b = 4.865 Å, c = 9.709 Å
α = 90.00°, β = 90.00°, γ = 90.00°
Atoms (fractional coordinates):
Hg1 0.000 0.000 0.000
Hg2 0.500 0.500 0.500
Sb1 0.000 0.000 0.332
Sb2 0.000 0.000 0.668
Sb3 0.500 0.500 0.168
Sb4 0.500 0.500 0.832
O1 0.176 0.176 0.500
O2 0.209 0.209 0.187
O3 0.209 0.209 0.813
O4 0.291 0.709 0.313
O5 0.291 0.709 0.687
O6 0.324 0.676 0.000
O7 0.676 0.324 0.000
O8 0.709 0.291 0.313
O9 0.709 0.291 0.687
O10 0.791 0.791 0.187
O11 0.791 0.791 0.813
O12 0.824 0.824 0.500



VASP calculation (PBEsol) on an optimized crystal structure of Na2Gd2B2O7.

Summary:
SG   P2_1/c, No. 14
Crystal system   monoclinic
Final energy   -474.725 eV/cell
E_form (uncorrected)   -36.2 eV per formula unit

a = 10.633 Å, b = 6.282 Å, c = 10.264 Å
α = 90.00°, β = 117.69°, γ = 90.00°
Atoms (fractional coordinates):
Na1 0.024 0.058 0.260
Na2 0.024 0.442 0.760
Na3 0.111 0.727 0.050
Na4 0.111 0.773 0.550
Na5 0.889 0.227 0.450
Na6 0.889 0.273 0.950
Na7 0.976 0.558 0.240
Na8 0.976 0.942 0.740
Gd1 0.315 0.082 0.912
Gd2 0.315 0.418 0.412
Gd3 0.483 0.540 0.182
Gd4 0.483 0.960 0.682
Gd5 0.517 0.040 0.318
Gd6 0.517 0.460 0.818
Gd7 0.685 0.582 0.588
Gd8 0.685 0.918 0.088
B1 0.182 0.247 0.580
B2 0.182 0.253 0.080
B3 0.292 0.654 0.852
B4 0.292 0.846 0.352
B5 0.708 0.154 0.648
B6 0.708 0.346 0.148
B7 0.818 0.747 0.920
B8 0.818 0.753 0.420
O1 0.101 0.167 0.943
O2 0.101 0.333 0.443
O3 0.128 0.145 0.661
O4 0.128 0.355 0.161
O5 0.183 0.745 0.866
O6 0.183 0.755 0.366
O7 0.331 0.235 0.135
O8 0.331 0.265 0.635
O9 0.349 0.741 0.272
O10 0.349 0.759 0.772
O11 0.350 0.042 0.414
O12 0.350 0.458 0.914
O13 0.473 0.624 0.596
O14 0.473 0.876 0.096
O15 0.527 0.124 0.904
O16 0.527 0.376 0.404
O17 0.650 0.542 0.086
O18 0.650 0.958 0.586
O19 0.651 0.241 0.228
O20 0.651 0.259 0.728
O21 0.669 0.735 0.365
O22 0.669 0.765 0.865
O23 0.817 0.245 0.634
O24 0.817 0.255 0.134
O25 0.872 0.645 0.839
O26 0.872 0.855 0.339
O27 0.899 0.667 0.557
O28 0.899 0.833 0.057



VASP calculation (PBEsol) on an optimized crystal structure of Na2BeInSi.

Summary:
SG   P4/mmm, No. 123
Crystal system   tetragonal
Final energy   -13.596 eV/cell
E_form (uncorrected)   1.9 eV per formula unit

a = 5.548 Å, b = 5.548 Å, c = 4.132 Å
α = 90.00°, β = 90.00°, γ = 90.00°
Atoms (fractional coordinates):
Na1 0.000 0.500 0.000
Na2 0.500 0.000 0.000
Be1 0.000 0.000 0.500
In1 0.500 0.500 0.500
Si1 0.000 0.000 0.000



VASP calculation (PBEsol) on an optimized crystal structure of LiCr3Mo.

Summary:
SG   Pm-3m, No. 221
Crystal system   cubic
Final energy   -37.063 eV/cell

a = 4.648 Å, b = 4.648 Å, c = 4.648 Å
α = 90.00°, β = 90.00°, γ = 90.00°
Atoms (fractional coordinates):
Li1 0.000 0.000 0.000
Cr1 0.000 0.500 0.500
Cr2 0.500 0.000 0.500
Cr3 0.500 0.500 0.000
Mo1 0.500 0.500 0.500



VASP calculation (PBEsol) on an optimized crystal structure of KSnAuSe3.

Summary:
SG   P4cc, No. 103
Crystal system   tetragonal
Final energy   -193.228 eV/cell
E_form (uncorrected)   -3.3 eV per formula unit

a = 8.170 Å, b = 8.170 Å, c = 19.914 Å
α = 90.00°, β = 90.00°, γ = 90.00°
Atoms (fractional coordinates):
K1 0.000 0.000 0.000
K2 0.000 0.000 0.198
K3 0.000 0.000 0.500
K4 0.000 0.000 0.698
K5 0.500 0.500 0.048
K6 0.500 0.500 0.341
K7 0.500 0.500 0.548
K8 0.500 0.500 0.841
Sn1 0.000 0.500 0.013
Sn2 0.000 0.500 0.191
Sn3 0.000 0.500 0.513
Sn4 0.000 0.500 0.691
Sn5 0.500 0.000 0.013
Sn6 0.500 0.000 0.191
Sn7 0.500 0.000 0.513
Sn8 0.500 0.000 0.691
Au1 0.006 0.315 0.352
Au2 0.006 0.685 0.852
Au3 0.315 0.006 0.852
Au4 0.315 0.994 0.352
Au5 0.685 0.006 0.352
Au6 0.685 0.994 0.852
Au7 0.994 0.315 0.852
Au8 0.994 0.685 0.352
Se1 0.157 0.326 0.102
Se2 0.157 0.674 0.602
Se3 0.189 0.315 0.760
Se4 0.189 0.685 0.260
Se5 0.197 0.322 0.445
Se6 0.197 0.678 0.945
Se7 0.315 0.189 0.260
Se8 0.315 0.811 0.760
Se9 0.322 0.197 0.945
Se10 0.322 0.803 0.445
Se11 0.326 0.157 0.602
Se12 0.326 0.843 0.102
Se13 0.674 0.157 0.102
Se14 0.674 0.843 0.602
Se15 0.678 0.197 0.445
Se16 0.678 0.803 0.945
Se17 0.685 0.189 0.760
Se18 0.685 0.811 0.260
Se19 0.803 0.322 0.945
Se20 0.803 0.678 0.445
Se21 0.811 0.315 0.260
Se22 0.811 0.685 0.760
Se23 0.843 0.326 0.602
Se24 0.843 0.674 0.102



VASP calculation (PBEsol) on an optimized crystal structure of SiHg.

Summary:
Offset from the most stable computed form   0.913 eV per formula unit
SG   P4/mmm, No. 123
Crystal system   tetragonal
Final energy   -14.880 eV/cell
E_form (uncorrected)   1.4 eV per formula unit

a = 5.171 Å, b = 5.171 Å, c = 5.523 Å
α = 90.00°, β = 90.00°, γ = 90.00°
Atoms (fractional coordinates):
Si1 0.000 0.000 0.000
Si2 0.000 0.500 0.500
Si3 0.500 0.000 0.500
Hg1 0.000 0.000 0.500
Hg2 0.000 0.500 0.000
Hg3 0.500 0.000 0.000



VASP calculation (PBEsol) on an optimized crystal structure of Li2CuRh.

Summary:
Offset from the most stable computed form   0.009 eV per formula unit
SG   Pmmm, No. 47
Crystal system   orthorhombic
Final energy   -16.694 eV/cell

a = 2.863 Å, b = 4.129 Å, c = 4.172 Å
α = 90.00°, β = 90.00°, γ = 90.00°
Atoms (fractional coordinates):
Li1 0.000 0.000 0.000
Li2 0.500 0.000 0.500
Cu1 0.000 0.500 0.500
Rh1 0.500 0.500 0.000



VASP calculation (PBEsol) on an optimized crystal structure of LiRh2.

Summary:
SG   Immm, No. 71
Crystal system   orthorhombic
Final energy   -18.300 eV/cell

a = 4.448 Å, b = 4.448 Å, c = 4.448 Å
α = 145.09°, β = 129.68°, γ = 62.71°
Atoms (fractional coordinates):
Li1 0.000 0.000 0.000
Rh1 0.332 0.332 0.000
Rh2 0.668 0.668 0.000



VASP calculation (PBEsol) on an optimized crystal structure of CaNiBP2H3O10.

Summary:
SG   C2/c, No. 15
Crystal system   monoclinic
Final energy   -249.630 eV/cell

a = 6.571 Å, b = 6.571 Å, c = 9.106 Å
α = 109.84°, β = 109.84°, γ = 77.62°
Atoms (fractional coordinates):
Ca1 0.130 0.870 0.750
Ca2 0.870 0.130 0.250
Ni1 0.000 0.500 0.000
Ni2 0.500 0.000 0.500
B1 0.470 0.530 0.250
B2 0.530 0.470 0.750
P1 0.151 0.281 0.675
P2 0.281 0.151 0.175
P3 0.719 0.849 0.825
P4 0.849 0.719 0.325
H1 0.000 0.500 0.500
H2 0.302 0.667 0.420
H3 0.333 0.698 0.080
H4 0.500 0.000 0.000
H5 0.667 0.302 0.920
H6 0.698 0.333 0.580
O1 0.037 0.651 0.468
O2 0.056 0.270 0.114
O3 0.062 0.263 0.803
O4 0.263 0.062 0.303
O5 0.270 0.056 0.614
O6 0.299 0.471 0.744
O7 0.320 0.562 0.099
O8 0.349 0.963 0.032
O9 0.438 0.680 0.401
O10 0.471 0.299 0.244
O11 0.529 0.701 0.756
O12 0.562 0.320 0.599
O13 0.651 0.037 0.968
O14 0.680 0.438 0.901
O15 0.701 0.529 0.256
O16 0.730 0.944 0.386
O17 0.737 0.938 0.697
O18 0.938 0.737 0.197
O19 0.944 0.730 0.886
O20 0.963 0.349 0.532



VASP calculation (PBEsol) on an optimized crystal structure of AlFe2Co.

Summary:
SG   Pm, No. 6
Crystal system   monoclinic
Final energy   -30.292 eV/cell

a = 2.510 Å, b = 3.895 Å, c = 4.720 Å
α = 90.00°, β = 101.36°, γ = 90.00°
Atoms (fractional coordinates):
Al1 0.000 0.000 0.000
Fe1 0.304 0.500 0.748
Fe2 0.503 0.000 0.499
Co1 0.738 0.500 0.254



VASP calculation (PBEsol) on an optimized crystal structure of Sr3Zn3TeP2O14.

Summary:
SG   P321, No. 150
Crystal system   trigonal
Final energy   -150.308 eV/cell
E_form (uncorrected)   -51.4 eV per formula unit

a = 8.281 Å, b = 8.281 Å, c = 5.187 Å
α = 90.00°, β = 90.00°, γ = 120.00°
Atoms (fractional coordinates):
Sr1 0.000 0.430 0.000
Sr2 0.430 0.000 0.000
Sr3 0.570 0.570 0.000
Zn1 0.000 0.762 0.500
Zn2 0.238 0.238 0.500
Zn3 0.762 0.000 0.500
Te1 0.000 0.000 0.000
P1 0.333 0.667 0.554
P2 0.667 0.333 0.446
O1 0.092 0.222 0.211
O2 0.131 0.908 0.211
O3 0.172 0.688 0.672
O4 0.222 0.092 0.789
O5 0.312 0.484 0.672
O6 0.333 0.667 0.257
O7 0.484 0.312 0.328
O8 0.516 0.828 0.672
O9 0.667 0.333 0.743
O10 0.688 0.172 0.328
O11 0.778 0.869 0.211
O12 0.828 0.516 0.328
O13 0.869 0.778 0.789
O14 0.908 0.131 0.789



VASP calculation (PBEsol) on an optimized crystal structure of HgSb2Se.

Summary:
Offset from the most stable computed form   0.830 eV per formula unit
SG   Cmm2, No. 35
Crystal system   orthorhombic
Final energy   -12.909 eV/cell
E_form (uncorrected)   0.6 eV per formula unit

a = 3.375 Å, b = 3.375 Å, c = 9.228 Å
α = 90.00°, β = 90.00°, γ = 111.62°
Atoms (fractional coordinates):
Hg1 0.000 0.000 0.000
Sb1 0.000 0.000 0.542
Sb2 0.500 0.500 0.260
Se1 0.500 0.500 0.764



VASP calculation (PBEsol) on an optimized crystal structure of BeSiRu2.

Summary:
Offset from the most stable computed form   0.000 eV per formula unit
SG   Fm-3m, No. 225
Crystal system   cubic
Final energy   -32.384 eV/cell
E_form (uncorrected)   -2.3 eV per formula unit

a = 4.009 Å, b = 4.009 Å, c = 4.009 Å
α = 60.00°, β = 60.00°, γ = 60.00°
Atoms (fractional coordinates):
Be1 0.000 0.000 0.000
Si1 0.500 0.500 0.500
Ru1 0.250 0.250 0.250
Ru2 0.750 0.750 0.750



VASP calculation (PBEsol) on an optimized crystal structure of PrIn2Pd.

Summary:
SG   I4mm, No. 107
Crystal system   tetragonal
Final energy   -198.740 eV/cell

a = 10.876 Å, b = 10.876 Å, c = 10.876 Å
α = 100.27°, β = 100.27°, γ = 130.04°
Atoms (fractional coordinates):
Pr1 0.000 0.000 0.000
Pr2 0.082 0.082 0.406
Pr3 0.082 0.676 0.000
Pr4 0.112 0.393 0.719
Pr5 0.393 0.112 0.719
Pr6 0.393 0.673 0.281
Pr7 0.469 0.469 0.000
Pr8 0.673 0.393 0.281
Pr9 0.676 0.082 0.000
Pr10 0.676 0.676 0.594
In1 0.093 0.093 0.734
In2 0.093 0.359 0.000
In3 0.252 0.869 0.383
In4 0.271 0.482 0.493
In5 0.271 0.778 0.789
In6 0.359 0.093 0.000
In7 0.359 0.359 0.266
In8 0.482 0.271 0.493
In9 0.482 0.989 0.211
In10 0.486 0.869 0.617
In11 0.560 0.725 0.835
In12 0.725 0.560 0.835
In13 0.725 0.890 0.165
In14 0.778 0.271 0.789
In15 0.778 0.989 0.507
In16 0.869 0.252 0.383
In17 0.869 0.486 0.617
In18 0.890 0.725 0.165
In19 0.989 0.482 0.211
In20 0.989 0.778 0.507
Pd1 0.035 0.253 0.218
Pd2 0.035 0.816 0.782
Pd3 0.122 0.622 0.500
Pd4 0.253 0.035 0.218
Pd5 0.382 0.382 0.680
Pd6 0.382 0.702 0.000
Pd7 0.622 0.122 0.500
Pd8 0.702 0.382 0.000
Pd9 0.702 0.702 0.320
Pd10 0.816 0.035 0.782



VASP calculation (PBEsol) on an optimized crystal structure of AlFeCu2.

Summary:
SG   Cm, No. 8
Crystal system   monoclinic
Final energy   -21.830 eV/cell

a = 4.414 Å, b = 4.414 Å, c = 4.412 Å
α = 102.20°, β = 102.20°, γ = 34.45°
Atoms (fractional coordinates):
Al1 0.000 0.000 0.000
Fe1 0.748 0.748 0.236
Cu1 0.253 0.253 0.732
Cu2 0.501 0.501 0.498



VASP calculation (PBEsol) on an optimized crystal structure of MgAs2AuBr.

Summary:
SG   P4/mmm, No. 123
Crystal system   tetragonal
Final energy   -15.249 eV/cell
E_form (uncorrected)   2.5 eV per formula unit

a = 4.976 Å, b = 4.976 Å, c = 5.280 Å
α = 90.00°, β = 90.00°, γ = 90.00°
Atoms (fractional coordinates):
Mg1 0.000 0.000 0.000
As1 0.000 0.500 0.500
As2 0.500 0.000 0.500
Au1 0.500 0.500 0.500
Br1 0.500 0.500 0.000